DFT (GGA+U) results for crystalline RbCrGa2O6 at its relaxed geometry.

Cell: 6.283 7.463 7.463 Å, 106.84 76.89 76.89°
Each line ends with the local moment (μB).
Sites, in units of the cell vectors:
Rb1 0.250 0.900 0.100  0.00
Rb2 0.750 0.100 0.900  0.00
Cr1 0.250 0.206 0.794  1.10
Cr2 0.750 0.794 0.206  1.10
Ga1 0.354 0.697 0.549  0.01
Ga2 0.146 0.451 0.303  0.01
Ga3 0.646 0.303 0.451  0.01
Ga4 0.854 0.549 0.697  0.01
O1 0.240 0.965 0.739  -0.01
O2 0.260 0.261 0.035  -0.01
O3 0.760 0.035 0.261  -0.01
O4 0.740 0.739 0.965  -0.01
O5 0.495 0.793 0.348  -0.04
O6 0.005 0.652 0.207  -0.04
O7 0.505 0.207 0.652  -0.04
O8 0.995 0.348 0.793  -0.04
O9 0.052 0.668 0.575  -0.01
O10 0.448 0.425 0.332  -0.01
O11 0.948 0.332 0.425  -0.01
O12 0.552 0.575 0.668  -0.01

space-group type: C2/c, No. 15
calculated total energy: -120.8 eV/cell